1.
## Pm2SnGe2 (GGA-PBE)

Data for crystalline Pm2SnGe2 at its relaxed geometry.

## Properties
- D(E_F) (states/eV/cell) = 4.23
- DFT formation energy (eV/atom) = -0.719

abc: 4.048 14.843 4.183
angles: 90.00 90.00 90.00
Sites, in units of the cell vectors:
Pm  0.000  0.133  0.000
Pm  0.000  0.867  0.000
Pm  0.500  0.367  0.000
Pm  0.500  0.633  0.000
Sn  0.000  0.500  0.500
Sn  0.500  0.000  0.500
Ge  0.000  0.305  0.500
Ge  0.000  0.695  0.500
Ge  0.500  0.195  0.500
Ge  0.500  0.805  0.500

***

2.
## Pm7Sn3Ge (GGA-PBE)

Data for crystalline Pm7Sn3Ge at its relaxed geometry.

## Properties
- D(E_F) (states/eV/cell) = 11.96
- DFT formation energy (eV/atom) = -0.456

abc: 8.127 8.127 5.862
angles: 111.07 111.07 93.38
Sites, in units of the cell vectors:
Pm  0.000  0.000  0.000
Pm  0.097  0.588  0.342
Pm  0.319  0.319  0.819
Pm  0.412  0.903  0.658
Pm  0.588  0.097  0.342
Pm  0.681  0.681  0.181
Pm  0.903  0.412  0.658
Sn  0.265  0.735  0.000
Sn  0.500  0.500  0.500
Sn  0.735  0.265  0.000
Ge  0.000  0.000  0.500

***

3.
## Pm2SnGe3 (GGA-PBE)

Data for crystalline Pm2SnGe3 at its relaxed geometry.

## Properties
- D(E_F) (states/eV/cell) = 11.25
- DFT formation energy (eV/atom) = -0.592

abc: 7.211 4.263 18.954
angles: 90.00 90.00 90.00
Sites, in units of the cell vectors:
Pm  0.126  0.250  0.201
Pm  0.138  0.250  0.409
Pm  0.362  0.750  0.909
Pm  0.374  0.750  0.701
Pm  0.626  0.250  0.299
Pm  0.638  0.250  0.091
Pm  0.862  0.750  0.591
Pm  0.874  0.750  0.799
Sn  0.050  0.750  0.072
Sn  0.450  0.250  0.572
Sn  0.550  0.750  0.428
Sn  0.950  0.250  0.928
Ge  0.065  0.250  0.681
Ge  0.204  0.250  0.806
Ge  0.235  0.750  0.523
Ge  0.265  0.250  0.023
Ge  0.296  0.750  0.306
Ge  0.435  0.750  0.181
Ge  0.565  0.250  0.819
Ge  0.704  0.250  0.694
Ge  0.735  0.750  0.977
Ge  0.765  0.250  0.477
Ge  0.796  0.750  0.194
Ge  0.935  0.750  0.319

***

4.
## Pm6Sn3Ge (GGA-PBE)

Data for crystalline Pm6Sn3Ge at its relaxed geometry.

## Properties
- D(E_F) (states/eV/cell) = 15.90
- DFT formation energy (eV/atom) = -0.496

abc: 9.006 9.006 9.006
angles: 99.73 99.73 99.73
Sites, in units of the cell vectors:
Pm  0.041  0.941  0.679
Pm  0.059  0.321  0.959
Pm  0.190  0.564  0.424
Pm  0.321  0.959  0.059
Pm  0.424  0.190  0.564
Pm  0.436  0.576  0.810
Pm  0.564  0.424  0.190
Pm  0.576  0.810  0.436
Pm  0.679  0.041  0.941
Pm  0.810  0.436  0.576
Pm  0.941  0.679  0.041
Pm  0.959  0.059  0.321
Sn  0.120  0.301  0.623
Sn  0.301  0.623  0.120
Sn  0.377  0.880  0.699
Sn  0.623  0.120  0.301
Sn  0.699  0.377  0.880
Sn  0.880  0.699  0.377
Ge  0.000  0.000  0.000
Ge  0.500  0.500  0.500

***

5.
## Pm7Sn2Ge (GGA-PBE)

Data for crystalline Pm7Sn2Ge at its relaxed geometry.

## Properties
- D(E_F) (states/eV/cell) = 12.52
- DFT formation energy (eV/atom) = -0.368

abc: 5.340 5.340 12.700
angles: 90.00 90.00 120.00
Sites, in units of the cell vectors:
Pm  0.000  0.000  0.000
Pm  0.000  0.000  0.250
Pm  0.000  0.000  0.738
Pm  0.333  0.667  0.397
Pm  0.333  0.667  0.892
Pm  0.667  0.333  0.125
Pm  0.667  0.333  0.577
Sn  0.000  0.000  0.494
Sn  0.667  0.333  0.846
Ge  0.333  0.667  0.146

***

6.
## Pm5SnGe4 (GGA-PBE)

Data for crystalline Pm5SnGe4 at its relaxed geometry.

## Properties
- D(E_F) (states/eV/cell) = 7.03
- DFT formation energy (eV/atom) = -0.649

abc: 3.439 3.439 21.175
angles: 90.00 90.00 90.00
Sites, in units of the cell vectors:
Pm  0.000  0.000  0.000
Pm  0.000  0.000  0.195
Pm  0.000  0.000  0.387
Pm  0.000  0.000  0.613
Pm  0.000  0.000  0.805
Sn  0.500  0.500  0.500
Ge  0.500  0.500  0.097
Ge  0.500  0.500  0.292
Ge  0.500  0.500  0.708
Ge  0.500  0.500  0.903

***

7.
## PmSnGe4 (GGA-PBE)

Data for crystalline PmSnGe4 at its relaxed geometry.

## Properties
- D(E_F) (states/eV/cell) = 2.70
- DFT formation energy (eV/atom) = -0.170

abc: 5.683 5.683 5.683
angles: 60.00 60.00 60.00
Sites, in units of the cell vectors:
Pm  0.000  0.000  0.000
Sn  0.750  0.750  0.750
Ge  0.376  0.376  0.376
Ge  0.376  0.376  0.873
Ge  0.376  0.873  0.376
Ge  0.873  0.376  0.376

***

8.
## Pm6Sn2Ge (GGA-PBE)

Data for crystalline Pm6Sn2Ge at its relaxed geometry.

## Properties
- D(E_F) (states/eV/cell) = 8.05
- DFT formation energy (eV/atom) = -0.605

abc: 8.486 8.486 4.394
angles: 90.00 90.00 120.00
Sites, in units of the cell vectors:
Pm  0.000  0.250  0.000
Pm  0.000  0.597  0.500
Pm  0.250  0.000  0.000
Pm  0.403  0.403  0.500
Pm  0.597  0.000  0.500
Pm  0.750  0.750  0.000
Sn  0.333  0.667  0.000
Sn  0.667  0.333  0.000
Ge  0.000  0.000  0.500

***

9.
## Pm6Sn6Ge (GGA-PBE)

Data for crystalline Pm6Sn6Ge at its relaxed geometry.

## Properties
- D(E_F) (states/eV/cell) = 6.85
- DFT formation energy (eV/atom) = -0.590

abc: 6.537 6.537 10.554
angles: 90.00 90.00 120.00
Sites, in units of the cell vectors:
Pm  0.000  0.000  0.230
Pm  0.000  0.000  0.770
Pm  0.333  0.667  0.000
Pm  0.333  0.667  0.500
Pm  0.667  0.333  0.000
Pm  0.667  0.333  0.500
Sn  0.000  0.500  0.247
Sn  0.000  0.500  0.753
Sn  0.500  0.000  0.247
Sn  0.500  0.000  0.753
Sn  0.500  0.500  0.247
Sn  0.500  0.500  0.753
Ge  0.000  0.000  0.500

***

10.
## Pm4SnGe2 (GGA-PBE)

Data for crystalline Pm4SnGe2 at its relaxed geometry.

## Properties
- D(E_F) (states/eV/cell) = 3.18
- DFT formation energy (eV/atom) = -0.622

abc: 10.768 10.768 10.768
angles: 25.89 25.89 25.89
Sites, in units of the cell vectors:
Pm  0.117  0.117  0.117
Pm  0.298  0.298  0.298
Pm  0.702  0.702  0.702
Pm  0.883  0.883  0.883
Sn  0.500  0.500  0.500
Ge  0.402  0.402  0.402
Ge  0.598  0.598  0.598

***

11.
## PmSnGe (GGA-PBE)

Data for crystalline PmSnGe at its relaxed geometry.

## Properties
- D(E_F) (states/eV/cell) = 1.88
- DFT formation energy (eV/atom) = -0.453

abc: 4.738 4.738 4.041
angles: 90.00 90.00 120.00
Sites, in units of the cell vectors:
Pm  0.000  0.000  0.000
Sn  0.667  0.333  0.499
Ge  0.333  0.667  0.501

***

12.
## Pm4Sn5Ge (GGA-PBE)

Data for crystalline Pm4Sn5Ge at its relaxed geometry.

## Properties
- D(E_F) (states/eV/cell) = 7.43
- DFT formation energy (eV/atom) = -0.571

abc: 9.370 11.888 5.196
angles: 90.00 90.00 90.00
Sites, in units of the cell vectors:
Pm  0.049  0.250  0.199
Pm  0.250  0.509  0.805
Pm  0.250  0.991  0.805
Pm  0.451  0.250  0.199
Pm  0.549  0.750  0.801
Pm  0.750  0.009  0.195
Pm  0.750  0.491  0.195
Pm  0.951  0.750  0.801
Sn  0.078  0.608  0.315
Sn  0.078  0.892  0.315
Sn  0.250  0.250  0.701
Sn  0.422  0.608  0.315
Sn  0.422  0.892  0.315
Sn  0.578  0.108  0.685
Sn  0.578  0.392  0.685
Sn  0.750  0.750  0.299
Sn  0.922  0.108  0.685
Sn  0.922  0.392  0.685
Ge  0.250  0.750  0.948
Ge  0.750  0.250  0.052

***

13.
## Pm5SnGe3 (GGA-PBE)

Data for crystalline Pm5SnGe3 at its relaxed geometry.

## Properties
- D(E_F) (states/eV/cell) = 18.68
- DFT formation energy (eV/atom) = -0.654

abc: 9.246 9.246 6.522
angles: 90.00 90.00 120.00
Sites, in units of the cell vectors:
Pm  0.000  0.279  0.250
Pm  0.000  0.721  0.750
Pm  0.279  0.000  0.250
Pm  0.279  0.279  0.750
Pm  0.333  0.667  0.000
Pm  0.333  0.667  0.500
Pm  0.667  0.333  0.000
Pm  0.667  0.333  0.500
Pm  0.721  0.000  0.750
Pm  0.721  0.721  0.250
Sn  0.000  0.000  0.000
Sn  0.000  0.000  0.500
Ge  0.000  0.381  0.750
Ge  0.000  0.619  0.250
Ge  0.381  0.000  0.750
Ge  0.381  0.381  0.250
Ge  0.619  0.000  0.250
Ge  0.619  0.619  0.750

***

14.
## Pm12SnGe6 (GGA-PBE)

Data for crystalline Pm12SnGe6 at its relaxed geometry.

## Properties
- D(E_F) (states/eV/cell) = 14.50
- DFT formation energy (eV/atom) = -0.617

abc: 8.903 8.903 8.903
angles: 109.47 109.47 109.47
Sites, in units of the cell vectors:
Pm  0.107  0.813  0.294
Pm  0.187  0.294  0.482
Pm  0.187  0.706  0.893
Pm  0.294  0.107  0.813
Pm  0.294  0.482  0.187
Pm  0.482  0.187  0.294
Pm  0.518  0.813  0.706
Pm  0.706  0.518  0.813
Pm  0.706  0.893  0.187
Pm  0.813  0.294  0.107
Pm  0.813  0.706  0.518
Pm  0.893  0.187  0.706
Sn  0.000  0.000  0.000
Ge  0.120  0.620  0.500
Ge  0.380  0.500  0.880
Ge  0.500  0.120  0.620
Ge  0.500  0.880  0.380
Ge  0.620  0.500  0.120
Ge  0.880  0.380  0.500

***

15.
## Pm7SnGe2 (GGA-PBE)

Data for crystalline Pm7SnGe2 at its relaxed geometry.

## Properties
- D(E_F) (states/eV/cell) = 12.05
- DFT formation energy (eV/atom) = -0.390

abc: 5.273 5.273 12.473
angles: 90.00 90.00 120.00
Sites, in units of the cell vectors:
Pm  0.000  0.000  0.000
Pm  0.000  0.000  0.262
Pm  0.000  0.000  0.534
Pm  0.333  0.667  0.135
Pm  0.333  0.667  0.700
Pm  0.667  0.333  0.370
Pm  0.667  0.333  0.854
Sn  0.333  0.667  0.422
Ge  0.000  0.000  0.767
Ge  0.667  0.333  0.110

***

16.
## Pm7Sn4Ge (GGA-PBE)

Data for crystalline Pm7Sn4Ge at its relaxed geometry.

## Properties
- D(E_F) (states/eV/cell) = 7.03
- DFT formation energy (eV/atom) = -0.529

abc: 8.262 8.262 9.763
angles: 119.09 119.09 40.40
Sites, in units of the cell vectors:
Pm  0.000  0.000  0.000
Pm  0.168  0.168  0.553
Pm  0.322  0.322  0.037
Pm  0.440  0.440  0.669
Pm  0.560  0.560  0.331
Pm  0.678  0.678  0.963
Pm  0.832  0.832  0.447
Sn  0.071  0.071  0.758
Sn  0.234  0.234  0.291
Sn  0.766  0.766  0.709
Sn  0.929  0.929  0.242
Ge  0.500  0.500  0.000

***

17.
## Pm4SnGe3 (GGA-PBE)

Data for crystalline Pm4SnGe3 at its relaxed geometry.

## Properties
- D(E_F) (states/eV/cell) = 6.21
- DFT formation energy (eV/atom) = -0.825

abc: 4.133 4.499 11.201
angles: 90.00 90.00 90.00
Sites, in units of the cell vectors:
Pm  0.000  0.000  0.000
Pm  0.000  0.500  0.488
Pm  0.500  0.000  0.714
Pm  0.500  0.500  0.221
Sn  0.000  0.500  0.776
Ge  0.000  0.000  0.274
Ge  0.500  0.000  0.438
Ge  0.500  0.500  0.950

***

18.
## Pm6Sn3Ge2 (GGA-PBE)

Data for crystalline Pm6Sn3Ge2 at its relaxed geometry.

## Properties
- D(E_F) (states/eV/cell) = 3.88
- DFT formation energy (eV/atom) = -0.394

abc: 12.782 12.782 12.782
angles: 155.08 155.08 35.54
Sites, in units of the cell vectors:
Pm  0.081  0.581  0.500
Pm  0.207  0.207  0.000
Pm  0.419  0.919  0.500
Pm  0.581  0.081  0.500
Pm  0.793  0.793  0.000
Pm  0.919  0.419  0.500
Sn  0.336  0.336  0.000
Sn  0.500  0.500  0.000
Sn  0.664  0.664  0.000
Ge  0.093  0.093  0.000
Ge  0.907  0.907  0.000

***

19.
## Pm4Sn3Ge (GGA-PBE)

Data for crystalline Pm4Sn3Ge at its relaxed geometry.

## Properties
- D(E_F) (states/eV/cell) = 6.24
- DFT formation energy (eV/atom) = -0.787

abc: 4.296 4.596 11.529
angles: 90.00 90.00 90.00
Sites, in units of the cell vectors:
Pm  0.000  0.000  0.000
Pm  0.000  0.500  0.488
Pm  0.500  0.000  0.718
Pm  0.500  0.500  0.222
Sn  0.000  0.500  0.766
Sn  0.500  0.000  0.438
Sn  0.500  0.500  0.947
Ge  0.000  0.000  0.266

***

20.
## Pm6Sn5Ge (GGA-PBE)

Data for crystalline Pm6Sn5Ge at its relaxed geometry.

## Properties
- D(E_F) (states/eV/cell) = 8.79
- DFT formation energy (eV/atom) = -0.631

abc: 7.065 7.065 7.928
angles: 97.11 97.11 108.59
Sites, in units of the cell vectors:
Pm  0.059  0.389  0.725
Pm  0.211  0.211  0.226
Pm  0.389  0.059  0.725
Pm  0.611  0.941  0.275
Pm  0.789  0.789  0.774
Pm  0.941  0.611  0.275
Sn  0.205  0.795  0.000
Sn  0.368  0.632  0.500
Sn  0.500  0.500  0.000
Sn  0.632  0.368  0.500
Sn  0.795  0.205  0.000
Ge  0.000  0.000  0.500

***

21.
## PmSnGe (GGA-PBE)

Data for crystalline PmSnGe at its relaxed geometry.

## Properties
- D(E_F) (states/eV/cell) = 8.20
- DFT formation energy (eV/atom) = -0.105

abc: 7.133 7.133 7.133
angles: 90.00 90.00 90.00
Sites, in units of the cell vectors:
Pm  0.000  0.000  0.000
Pm  0.000  0.500  0.500
Pm  0.500  0.000  0.500
Pm  0.500  0.500  0.000
Sn  0.250  0.250  0.750
Sn  0.250  0.750  0.250
Sn  0.750  0.250  0.250
Sn  0.750  0.750  0.750
Ge  0.250  0.250  0.250
Ge  0.250  0.750  0.750
Ge  0.750  0.250  0.750
Ge  0.750  0.750  0.250